A geometry-optimized LiCePt structure, computed with PBE.

Geometry as extended XYZ:
```
9
Lattice="7.2004 0.0000 0.0000 -3.6002 6.2357 0.0000 0.0000 0.0000 4.1423" Properties=species:S:1:pos:R:3 pbc="T T T"
Li -2.7720 4.8013 0.0000
Li 0.8282 1.4345 0.0000
Li 5.5440 0.0000 0.0000
Ce -1.4843 2.5710 2.0712
Ce 2.9687 0.0000 2.0712
Ce 2.1158 3.6648 2.0712
Pt 0.0000 0.0000 2.0712
Pt 0.0000 4.1571 0.0000
Pt 3.6002 2.0786 0.0000
```

Computed properties:
**Symmetry**: P-62m, No. 189
**DFT total energy**: -5.367 eV/atom
**DOS at the Fermi energy**: 19.55 states/eV per cell
**ΔE_f**: -0.737 eV per atom
**Calculated volume**: 186 Å³/cell
**ΔE to the lowest computed polymorph**: 13 meV/atom

A geometry-optimized LiCe2Pt3 structure, computed with PBE.

Geometry as extended XYZ:
```
12
Lattice="0.0000 4.7016 7.3661 3.5865 0.0000 7.3661 3.5865 4.7016 0.0000" Properties=species:S:1:pos:R:3 pbc="T T T"
Li 3.5865 4.7016 2.5761
Li 3.5865 4.7016 12.1561
Ce 5.4059 4.7016 7.3661
Ce 1.7933 2.3508 3.6831
Ce 5.3798 7.0524 11.0492
Ce 1.7671 4.7016 7.3661
Pt 3.5865 2.1264 5.9963
Pt 3.5865 2.1264 8.7359
Pt 3.5865 4.7016 5.0156
Pt 3.5865 4.7016 9.7167
Pt 3.5865 7.2768 5.9963
Pt 3.5865 7.2768 8.7359
```

Computed properties:
**Symmetry**: Fmmm, No. 69
**DFT total energy**: -6.173 eV/atom
**DOS at the Fermi energy**: 20.78 states/eV per cell
**ΔE_f**: -0.855 eV per atom
**Calculated volume**: 248 Å³/cell

A geometry-optimized LiCePt4 structure, computed with PBE.

Geometry as extended XYZ:
```
6
Lattice="0.0000 3.7987 3.7987 3.7987 0.0000 3.7987 3.7987 3.7987 0.0000" Properties=species:S:1:pos:R:3 pbc="T T T"
Li 0.0000 0.0000 0.0000
Ce 1.8994 1.8994 1.8994
Pt 4.7530 2.8445 2.8445
Pt 2.8445 4.7530 2.8445
Pt 2.8445 2.8445 4.7530
Pt 4.7530 4.7530 4.7530
```

Computed properties:
**Symmetry**: F-43m, No. 216
**DFT total energy**: -6.207 eV/atom
**DOS at the Fermi energy**: 7.15 states/eV per cell
**ΔE_f**: -0.871 eV per atom
**Calculated volume**: 110 Å³/cell

A geometry-optimized Li2Ce3Pt3 structure, computed with PBE.

Geometry as extended XYZ:
```
16
Lattice="8.5204 0.0000 0.0000 -4.2602 7.3789 0.0000 0.0000 0.0000 5.6181" Properties=species:S:1:pos:R:3 pbc="T T T"
Li 0.0000 4.9192 0.0000
Li 0.0000 4.9192 2.8091
Li 4.2602 2.4596 0.0000
Li 4.2602 2.4596 2.8091
Ce -1.1809 2.0453 1.4045
Ce -3.0793 5.3335 4.2136
Ce 2.3617 0.0000 1.4045
Ce 1.1809 2.0453 4.2136
Ce 6.1586 0.0000 4.2136
Ce 3.0793 5.3335 1.4045
Pt -1.6288 2.8212 4.2136
Pt -2.6313 4.5576 1.4045
Pt 3.2577 0.0000 4.2136
Pt 1.6288 2.8212 1.4045
Pt 5.2627 0.0000 1.4045
Pt 2.6313 4.5576 4.2136
```

Computed properties:
**Symmetry**: P6_3/mcm, No. 193
**DFT total energy**: -5.752 eV/atom
**DOS at the Fermi energy**: 31.34 states/eV per cell
**ΔE_f**: -0.783 eV per atom
**Calculated volume**: 353 Å³/cell

A geometry-optimized LiCePtRh structure, computed with PBE.

Geometry as extended XYZ:
```
16
Lattice="6.6213 0.0000 0.0000 0.0000 6.6213 0.0000 0.0000 0.0000 6.6213" Properties=species:S:1:pos:R:3 pbc="T T T"
Li 0.0000 0.0000 0.0000
Li 0.0000 3.3106 3.3106
Li 3.3106 0.0000 3.3106
Li 3.3106 3.3106 0.0000
Ce 0.0000 0.0000 3.3106
Ce 0.0000 3.3106 0.0000
Ce 3.3106 0.0000 0.0000
Ce 3.3106 3.3106 3.3106
Pt 1.6553 1.6553 4.9660
Pt 1.6553 4.9660 1.6553
Pt 4.9660 1.6553 1.6553
Pt 4.9660 4.9660 4.9660
Rh 1.6553 1.6553 1.6553
Rh 1.6553 4.9660 4.9660
Rh 4.9660 1.6553 4.9660
Rh 4.9660 4.9660 1.6553
```

Computed properties:
**Symmetry**: F-43m, No. 216
**DFT total energy**: -5.974 eV/atom
**DOS at the Fermi energy**: 9.67 states/eV per cell
**ΔE_f**: -0.664 eV per atom
**Calculated volume**: 290 Å³/cell
**ΔE to the lowest computed polymorph**: 90 meV/atom

A geometry-optimized LiCePtRh structure, computed with PBE.

Geometry as extended XYZ:
```
4
Lattice="3.8226 0.0000 0.0000 0.0000 4.1094 0.0000 0.0000 0.0000 4.4238" Properties=species:S:1:pos:R:3 pbc="T T T"
Li 0.0000 0.0000 0.0000
Ce 0.0000 2.0547 2.2119
Pt 1.9113 2.0547 0.0000
Rh 1.9113 0.0000 2.2119
```

Computed properties:
**Symmetry**: Pmmm, No. 47
**DFT total energy**: -6.064 eV/atom
**DOS at the Fermi energy**: 3.22 states/eV per cell
**ΔE_f**: -0.754 eV per atom
**Calculated volume**: 69 Å³/cell
**ΔE to the lowest computed polymorph**: 0 meV/atom

A geometry-optimized LiCeRuPt structure, computed with PBE.

Geometry as extended XYZ:
```
16
Lattice="6.5608 0.0000 0.0000 0.0000 6.5608 0.0000 0.0000 0.0000 6.5608" Properties=species:S:1:pos:R:3 pbc="T T T"
Li 0.0000 0.0000 0.0000
Li 0.0000 3.2804 3.2804
Li 3.2804 0.0000 3.2804
Li 3.2804 3.2804 0.0000
Ce 0.0000 0.0000 3.2804
Ce 0.0000 3.2804 0.0000
Ce 3.2804 0.0000 0.0000
Ce 3.2804 3.2804 3.2804
Ru 1.6402 1.6402 1.6402
Ru 1.6402 4.9206 4.9206
Ru 4.9206 1.6402 4.9206
Ru 4.9206 4.9206 1.6402
Pt 1.6402 1.6402 4.9206
Pt 1.6402 4.9206 1.6402
Pt 4.9206 1.6402 1.6402
Pt 4.9206 4.9206 4.9206
```

Computed properties:
**Symmetry**: F-43m, No. 216
**DFT total energy**: -6.215 eV/atom
**DOS at the Fermi energy**: 8.13 states/eV per cell
**ΔE_f**: -0.424 eV per atom
**Calculated volume**: 282 Å³/cell

A geometry-optimized LiCeSbPt structure, computed with PBE.

Geometry as extended XYZ:
```
16
Lattice="6.8841 0.0000 0.0000 0.0000 6.8841 0.0000 0.0000 0.0000 6.8841" Properties=species:S:1:pos:R:3 pbc="T T T"
Li 0.0000 0.0000 0.0000
Li 0.0000 3.4420 3.4420
Li 3.4420 0.0000 3.4420
Li 3.4420 3.4420 0.0000
Ce 1.7210 1.7210 5.1631
Ce 1.7210 5.1631 1.7210
Ce 5.1631 1.7210 1.7210
Ce 5.1631 5.1631 5.1631
Sb 1.7210 1.7210 1.7210
Sb 1.7210 5.1631 5.1631
Sb 5.1631 1.7210 5.1631
Sb 5.1631 5.1631 1.7210
Pt 0.0000 0.0000 3.4420
Pt 0.0000 3.4420 0.0000
Pt 3.4420 0.0000 0.0000
Pt 3.4420 3.4420 3.4420
```

Computed properties:
**Formation energy without anion corrections**: -744 meV/atom
**Symmetry**: F-43m, No. 216
**DFT total energy**: -5.247 eV/atom
**DOS at the Fermi energy**: 17.77 states/eV per cell
**Calculated volume**: 326 Å³/cell